## LaPm2Nd2Y2 (PBE)

Data for a relaxed structure of LaPm2Nd2Y2.

Cell lengths 6.2144, 6.2144, 12.1354 Å; angles 108.66, 108.66, 33.52 degrees
Fractional coordinates of all 7 atoms:
La (0.0000, 0.0000, 0.0000)
Pm (0.4456, 0.4456, 0.7276)
Pm (0.5544, 0.5544, 0.2724)
Nd (0.3335, 0.3335, 0.4190)
Nd (0.6665, 0.6665, 0.5810)
Y (0.2224, 0.2224, 0.8607)
Y (0.7776, 0.7776, 0.1393)

Output
Energy of formation from the pure elements ... 0.084 eV per atom
Total moment ... 0.000 μB per atom
Space group ... No. 12

---

## ZrInSe2 (PBE)

Data for a relaxed structure of ZrInSe2.

Cell lengths 3.5826, 3.5826, 7.4938 Å; angles 90.00, 90.00, 90.00 degrees
Fractional coordinates of all 4 atoms:
Zr (0.0000, 0.0000, 0.0000)
In (0.5000, 0.5000, 0.2749)
Se (0.0000, 0.0000, 0.4292)
Se (0.5000, 0.5000, 0.8299)

Output
Total moment ... 0.202 μB per atom
Space group ... No. 99

---

## MgRe2As2 (PBE)

Data for a relaxed structure of MgRe2As2.

Cell lengths 5.9430, 5.9430, 5.9430 Å; angles 137.81, 137.81, 61.19 degrees
Fractional coordinates of all 5 atoms:
Mg (0.0000, 0.0000, 0.0000)
Re (0.3810, 0.3810, 0.0000)
Re (0.6190, 0.6190, 0.0000)
As (0.2500, 0.7500, 0.5000)
As (0.7500, 0.2500, 0.5000)

Output
Energy of formation from the pure elements ... 0.317 eV per atom
Total moment ... 0.000 μB per atom
Space group ... No. 139

---

## Mn2Pd3Au2 (PBE)

Data for a relaxed structure of Mn2Pd3Au2.

Cell lengths 4.9102, 4.9102, 6.3762 Å; angles 97.24, 97.24, 47.05 degrees
Fractional coordinates of all 7 atoms:
Mn (0.0759, 0.0759, 0.2338)
Mn (0.9241, 0.9241, 0.7662)
Pd (0.2164, 0.2164, 0.6421)
Pd (0.5000, 0.5000, 0.5000)
Pd (0.7836, 0.7836, 0.3579)
Au (0.3619, 0.3619, 0.0752)
Au (0.6381, 0.6381, 0.9248)

Output
Energy of formation from the pure elements ... -0.192 eV per atom
Total moment ... 1.222 μB per atom
Excess energy over the best structure of this formula in the dataset ... 0 meV/atom
Space group ... No. 12

---

## TaZn2Rh (PBE)

Data for a relaxed structure of TaZn2Rh.

Cell lengths 4.4867, 4.4867, 4.4867 Å; angles 123.47, 123.47, 84.09 degrees
Fractional coordinates of all 4 atoms:
Ta (0.0000, 0.0000, 0.0000)
Zn (0.5000, 0.5000, 0.0000)
Zn (0.7500, 0.2500, 0.5000)
Rh (0.2500, 0.7500, 0.5000)

Output
Energy of formation from the pure elements ... -0.233 eV per atom
Total moment ... 0.000 μB per atom
Space group ... No. 119

---

## LiSe3F (PBE)

Data for a relaxed structure of LiSe3F.

Cell lengths 4.5437, 4.5437, 4.5437 Å; angles 90.00, 90.00, 90.00 degrees
Fractional coordinates of all 5 atoms:
Li (0.0000, 0.0000, 0.0000)
Se (0.0000, 0.0000, 0.5000)
Se (0.0000, 0.5000, 0.0000)
Se (0.5000, 0.0000, 0.0000)
F (0.5000, 0.5000, 0.5000)

Output
Total moment ... 0.000 μB per atom
Excess energy over the best structure of this formula in the dataset ... 159 meV/atom
Space group ... No. 221

---

## RbTaTe2O (PBE)

Data for a relaxed structure of RbTaTe2O.

Cell lengths 6.0468, 6.0468, 3.8119 Å; angles 90.00, 90.00, 90.00 degrees
Fractional coordinates of all 5 atoms:
Rb (0.0000, 0.0000, 0.0000)
Ta (0.5000, 0.5000, 0.0000)
Te (0.0000, 0.5000, 0.5000)
Te (0.5000, 0.0000, 0.5000)
O (0.5000, 0.5000, 0.5000)

Output
Total moment ... 0.102 μB per atom
Space group ... No. 123

---

## Li2Zn2Ru (PBE)

Data for a relaxed structure of Li2Zn2Ru.

Cell lengths 7.0454, 7.0454, 2.6324 Å; angles 90.00, 90.00, 90.00 degrees
Fractional coordinates of all 10 atoms:
Li (0.1297, 0.3703, 0.0000)
Li (0.3703, 0.8703, 0.0000)
Li (0.6297, 0.1297, 0.0000)
Li (0.8703, 0.6297, 0.0000)
Zn (0.1691, 0.6691, 0.5000)
Zn (0.3309, 0.1691, 0.5000)
Zn (0.6691, 0.8309, 0.5000)
Zn (0.8309, 0.3309, 0.5000)
Ru (0.0000, 0.0000, 0.0000)
Ru (0.5000, 0.5000, 0.0000)

Output
Energy of formation from the pure elements ... 0.056 eV per atom
Total moment ... 0.000 μB per atom
Excess energy over the best structure of this formula in the dataset ... 0 meV/atom
Space group ... No. 127

---

## RbFeBr3 (PBE)

Data for a relaxed structure of RbFeBr3.

Cell lengths 6.4431, 7.8365, 8.2536 Å; angles 63.33, 87.90, 89.36 degrees
Fractional coordinates of all 10 atoms:
Rb (0.2387, 0.4049, 0.2650)
Rb (0.7613, 0.5951, 0.7350)
Fe (0.1471, 0.0319, 0.8920)
Fe (0.8529, 0.9681, 0.1080)
Br (0.2285, 0.9400, 0.2050)
Br (0.2478, 0.7751, 0.8173)
Br (0.2506, 0.3613, 0.7029)
Br (0.7494, 0.6387, 0.2971)
Br (0.7522, 0.2249, 0.1827)
Br (0.7715, 0.0600, 0.7950)

Output
Total moment ... 0.800 μB per atom
Space group ... No. 2

---

## Fe2PC (PBE)

Data for a relaxed structure of Fe2PC.

Cell lengths 6.1889, 6.1889, 6.1889 Å; angles 25.08, 25.08, 25.08 degrees
Fractional coordinates of all 4 atoms:
Fe (0.0000, 0.0000, 0.0000)
Fe (0.1372, 0.1372, 0.1372)
P (0.5704, 0.5704, 0.5704)
C (0.7374, 0.7374, 0.7374)

Output
Energy of formation from the pure elements ... -0.001 eV per atom
Total moment ... 0.014 μB per atom
Space group ... No. 160

---

## Rb7TeH12 (PBE)

Data for a relaxed structure of Rb7TeH12.

Cell lengths 7.8468, 7.8468, 7.8468 Å; angles 99.83, 99.83, 99.83 degrees
Fractional coordinates of all 20 atoms:
Rb (0.0000, 0.0000, 0.0000)
Rb (0.0645, 0.5981, 0.3030)
Rb (0.3030, 0.0645, 0.5981)
Rb (0.4019, 0.6970, 0.9355)
Rb (0.5981, 0.3030, 0.0645)
Rb (0.6970, 0.9355, 0.4019)
Rb (0.9355, 0.4019, 0.6970)
Te (0.5000, 0.5000, 0.5000)
H (0.1021, 0.7696, 0.6885)
H (0.2304, 0.3115, 0.8979)
H (0.2691, 0.4139, 0.5285)
H (0.3115, 0.8979, 0.2304)
H (0.4139, 0.5285, 0.2691)
H (0.4715, 0.7309, 0.5861)
H (0.5285, 0.2691, 0.4139)
H (0.5861, 0.4715, 0.7309)
H (0.6885, 0.1021, 0.7696)
H (0.7309, 0.5861, 0.4715)
H (0.7696, 0.6885, 0.1021)
H (0.8979, 0.2304, 0.3115)

Output
Total moment ... 0.000 μB per atom
Space group ... No. 148

---

## Sm4Zn3Ir (PBE)

Data for a relaxed structure of Sm4Zn3Ir.

Cell lengths 3.6156, 3.6156, 14.4464 Å; angles 90.00, 90.00, 90.00 degrees
Fractional coordinates of all 8 atoms:
Sm (0.0000, 0.0000, 0.1137)
Sm (0.0000, 0.0000, 0.3736)
Sm (0.0000, 0.0000, 0.6264)
Sm (0.0000, 0.0000, 0.8863)
Zn (0.5000, 0.5000, 0.2494)
Zn (0.5000, 0.5000, 0.5000)
Zn (0.5000, 0.5000, 0.7506)
Ir (0.5000, 0.5000, 0.0000)

Output
Energy of formation from the pure elements ... -0.418 eV per atom
Total moment ... 0.000 μB per atom
Space group ... No. 123

---

## Bi3HIr (PBE)

Data for a relaxed structure of Bi3HIr.

Cell lengths 5.3740, 5.3740, 5.3740 Å; angles 90.00, 90.00, 90.00 degrees
Fractional coordinates of all 5 atoms:
Bi (0.0000, 0.0000, 0.5000)
Bi (0.0000, 0.5000, 0.0000)
Bi (0.5000, 0.0000, 0.0000)
H (0.5000, 0.5000, 0.5000)
Ir (0.0000, 0.0000, 0.0000)

Output
Total moment ... 0.000 μB per atom
Excess energy over the best structure of this formula in the dataset ... 281 meV/atom
Space group ... No. 221

---

## PuP2N6 (PBE)

Data for a relaxed structure of PuP2N6.

Cell lengths 6.7817, 6.7817, 5.4172 Å; angles 101.22, 101.22, 84.83 degrees
Fractional coordinates of all 18 atoms:
Pu (0.1173, 0.8827, 0.7500)
Pu (0.8827, 0.1173, 0.2500)
P (0.2332, 0.3677, 0.7534)
P (0.3677, 0.2332, 0.2534)
P (0.6323, 0.7668, 0.7466)
P (0.7668, 0.6323, 0.2466)
N (0.0770, 0.1768, 0.6564)
N (0.1126, 0.5904, 0.7497)
N (0.1768, 0.0770, 0.1564)
N (0.3453, 0.3753, 0.0437)
N (0.3753, 0.3453, 0.5437)
N (0.4096, 0.8874, 0.7503)
N (0.5904, 0.1126, 0.2497)
N (0.6247, 0.6547, 0.4563)
N (0.6547, 0.6247, 0.9563)
N (0.8232, 0.9230, 0.8436)
N (0.8874, 0.4096, 0.2503)
N (0.9230, 0.8232, 0.3436)

Output
Total moment ... 0.065 μB per atom
Space group ... No. 15

---

## CrTcSb2 (PBE)

Data for a relaxed structure of CrTcSb2.

Cell lengths 10.5114, 10.5114, 10.5114 Å; angles 16.89, 16.89, 16.89 degrees
Fractional coordinates of all 4 atoms:
Cr (0.0000, 0.0000, 0.0000)
Tc (0.7229, 0.7229, 0.7229)
Sb (0.2645, 0.2645, 0.2645)
Sb (0.4607, 0.4607, 0.4607)

Output
Total moment ... 0.010 μB per atom
Excess energy over the best structure of this formula in the dataset ... 219 meV/atom
Space group ... No. 160

---

## Zr2TaCl (PBE)

Data for a relaxed structure of Zr2TaCl.

Cell lengths 3.0223, 3.0223, 10.7514 Å; angles 90.00, 90.00, 90.00 degrees
Fractional coordinates of all 4 atoms:
Zr (0.0000, 0.0000, 0.0000)
Zr (0.5000, 0.5000, 0.2466)
Ta (0.5000, 0.5000, 0.7999)
Cl (0.0000, 0.0000, 0.4004)

Output
Total moment ... 0.000 μB per atom
Excess energy over the best structure of this formula in the dataset ... 387 meV/atom
Space group ... No. 99

---

## SbMo4 (PBE)

Data for a relaxed structure of SbMo4.

Cell lengths 5.1617, 5.1617, 5.1617 Å; angles 109.47, 109.47, 109.47 degrees
Fractional coordinates of all 5 atoms:
Sb (0.0000, 0.0000, 0.0000)
Mo (0.0000, 0.0000, 0.5000)
Mo (0.0000, 0.5000, 0.0000)
Mo (0.5000, 0.0000, 0.0000)
Mo (0.5000, 0.5000, 0.5000)

Output
Total moment ... 0.000 μB per atom
Excess energy over the best structure of this formula in the dataset ... 1103 meV/atom
Space group ... No. 229

---

## Th4FePt (PBE)

Data for a relaxed structure of Th4FePt.

Cell lengths 6.2585, 6.9439, 7.7821 Å; angles 90.00, 108.22, 90.00 degrees
Fractional coordinates of all 12 atoms:
Th (0.0051, 0.0031, 0.2332)
Th (0.0051, 0.4969, 0.2332)
Th (0.4306, 0.2500, 0.6249)
Th (0.4378, 0.2500, 0.0929)
Th (0.5622, 0.7500, 0.9071)
Th (0.5694, 0.7500, 0.3751)
Th (0.9949, 0.5031, 0.7668)
Th (0.9949, 0.9969, 0.7668)
Fe (0.2155, 0.7500, 0.0579)
Fe (0.7845, 0.2500, 0.9421)
Pt (0.2136, 0.7500, 0.5505)
Pt (0.7864, 0.2500, 0.4495)

Output
Energy of formation from the pure elements ... -0.411 eV per atom
Total moment ... 0.000 μB per atom
Space group ... No. 11

---

## P2PbCl (PBE)

Data for a relaxed structure of P2PbCl.

Cell lengths 4.3287, 4.3287, 5.8741 Å; angles 90.00, 90.00, 90.00 degrees
Fractional coordinates of all 4 atoms:
P (0.0000, 0.0000, 0.1737)
P (0.0000, 0.0000, 0.8263)
Pb (0.5000, 0.5000, 0.0000)
Cl (0.5000, 0.5000, 0.5000)

Output
Total moment ... 0.000 μB per atom
Excess energy over the best structure of this formula in the dataset ... 352 meV/atom
Space group ... No. 123

---

## Li6InAg5 (PBE)

Data for a relaxed structure of Li6InAg5.

Cell lengths 7.7488, 7.7488, 4.4605 Å; angles 106.68, 106.68, 117.69 degrees
Fractional coordinates of all 12 atoms:
Li (0.0721, 0.4120, 0.7421)
Li (0.2344, 0.2344, 0.2342)
Li (0.4120, 0.0721, 0.7421)
Li (0.5880, 0.9279, 0.2579)
Li (0.7656, 0.7656, 0.7658)
Li (0.9279, 0.5880, 0.2579)
In (0.5000, 0.5000, 0.0000)
Ag (0.0000, 0.0000, 0.5000)
Ag (0.1702, 0.8298, 0.0000)
Ag (0.3389, 0.6611, 0.5000)
Ag (0.6611, 0.3389, 0.5000)
Ag (0.8298, 0.1702, 0.0000)

Output
Energy of formation from the pure elements ... -0.226 eV per atom
Total moment ... 0.000 μB per atom
Space group ... No. 12

---

## Zr2ReCl (PBE)

Data for a relaxed structure of Zr2ReCl.

Cell lengths 3.2188, 3.2188, 7.8217 Å; angles 90.00, 90.00, 90.00 degrees
Fractional coordinates of all 4 atoms:
Zr (0.0000, 0.0000, 0.2096)
Zr (0.0000, 0.0000, 0.7904)
Re (0.5000, 0.5000, 0.0000)
Cl (0.5000, 0.5000, 0.5000)

Output
Total moment ... 0.000 μB per atom
Excess energy over the best structure of this formula in the dataset ... 143 meV/atom
Space group ... No. 123

---

## CsRb2LiPb (PBE)

Data for a relaxed structure of CsRb2LiPb.

Cell lengths 7.3047, 7.3047, 5.6938 Å; angles 90.00, 90.00, 90.00 degrees
Fractional coordinates of all 5 atoms:
Cs (0.0000, 0.0000, 0.0000)
Rb (0.0000, 0.5000, 0.5000)
Rb (0.5000, 0.0000, 0.5000)
Li (0.5000, 0.5000, 0.0000)
Pb (0.5000, 0.5000, 0.5000)

Output
Energy of formation from the pure elements ... 0.010 eV per atom
Total moment ... 0.000 μB per atom
Excess energy over the best structure of this formula in the dataset ... 6 meV/atom
Space group ... No. 123

---

## SrTiCo2 (PBE)

Data for a relaxed structure of SrTiCo2.

Cell lengths 8.3175, 8.3175, 8.3175 Å; angles 146.37, 146.37, 48.30 degrees
Fractional coordinates of all 8 atoms:
Sr (0.3750, 0.6250, 0.7500)
Sr (0.6250, 0.3750, 0.2500)
Ti (0.1250, 0.8750, 0.2500)
Ti (0.8750, 0.1250, 0.7500)
Co (0.0000, 0.0000, 0.0000)
Co (0.0000, 0.0000, 0.5000)
Co (0.0000, 0.5000, 0.0000)
Co (0.5000, 0.0000, 0.5000)

Output
Energy of formation from the pure elements ... 0.463 eV per atom
Total moment ... 0.000 μB per atom
Excess energy over the best structure of this formula in the dataset ... 0 meV/atom
Space group ... No. 141

---

## YNi3As (PBE)

Data for a relaxed structure of YNi3As.

Cell lengths 4.4034, 4.4034, 4.4034 Å; angles 90.00, 90.00, 90.00 degrees
Fractional coordinates of all 5 atoms:
Y (0.0000, 0.0000, 0.0000)
Ni (0.0000, 0.5000, 0.5000)
Ni (0.5000, 0.0000, 0.5000)
Ni (0.5000, 0.5000, 0.0000)
As (0.5000, 0.5000, 0.5000)

Output
Energy of formation from the pure elements ... -0.222 eV per atom
Total moment ... 0.000 μB per atom
Excess energy over the best structure of this formula in the dataset ... 0 meV/atom
Space group ... No. 221

---

## PrY4Th2 (PBE)

Data for a relaxed structure of PrY4Th2.

Cell lengths 9.2190, 9.2190, 9.2190 Å; angles 144.29, 144.29, 51.40 degrees
Fractional coordinates of all 7 atoms:
Pr (0.0000, 0.0000, 0.0000)
Y (0.0000, 0.5000, 0.5000)
Y (0.1811, 0.1811, 0.0000)
Y (0.5000, 0.0000, 0.5000)
Y (0.8189, 0.8189, 0.0000)
Th (0.3874, 0.3874, 0.0000)
Th (0.6126, 0.6126, 0.0000)

Output
Energy of formation from the pure elements ... 0.805 eV per atom
Total moment ... 0.000 μB per atom
Excess energy over the best structure of this formula in the dataset ... 721 meV/atom
Space group ... No. 139

---

In order of appearance, electronic total energy = -36.30, -20.51, -34.20, -41.81, -22.68, -13.43, -25.82, -15.37, -19.42, -31.56, -47.99, -34.91, -19.14, -75.16, -26.85, -30.91, -38.86, -46.65, -15.89, -31.19, -33.36, -8.36, -21.94, -29.57, -39.84 eV/f.u..